(1)
Li2CrS2 | GGA-PBE | optimized geometry

Geometry as POSCAR:
```
Li2CrS2
1.0
6.599 0.000 0.000
0.000 6.599 0.000
0.000 0.000 3.625
Cr S Li
2 4 4
direct
0.000 0.000 0.000
0.500 0.500 0.000
0.323 0.823 0.000
0.823 0.677 0.000
0.677 0.177 0.000
0.177 0.323 0.000
0.137 0.637 0.500
0.637 0.863 0.500
0.863 0.363 0.500
0.363 0.137 0.500
```

Properties
- ΔE_f (raw): -788 meV per atom
- DOS(E_F): 0.025 states/eV/atom

***

(2)
LiCrS2 | GGA-PBE | optimized geometry

Geometry as POSCAR:
```
LiCrS2
1.0
0.000 3.089 3.089
3.089 0.000 3.089
3.089 3.089 0.000
Cr S Li
1 2 1
direct
0.500 0.500 0.500
0.250 0.250 0.250
0.750 0.750 0.750
0.000 0.000 0.000
```

Properties
- ΔE_f (raw): -454 meV per atom
- DOS(E_F): 0.306 states/eV/atom

***

(3)
LiCr2S4 | GGA-PBE | optimized geometry

Geometry as POSCAR:
```
LiCr2S4
1.0
5.903 0.000 0.000
0.000 6.829 0.000
0.000 0.000 12.699
Li Cr S
4 8 16
direct
0.336 0.000 0.000
0.664 0.500 0.500
0.018 0.000 0.500
0.982 0.500 0.000
0.988 0.000 0.247
0.988 0.000 0.753
0.012 0.500 0.253
0.012 0.500 0.747
0.500 0.250 0.250
0.500 0.750 0.750
0.500 0.750 0.250
0.500 0.250 0.750
0.834 0.252 0.356
0.834 0.748 0.644
0.166 0.752 0.144
0.166 0.248 0.856
0.166 0.248 0.144
0.166 0.752 0.856
0.834 0.748 0.356
0.834 0.252 0.644
0.661 0.000 0.143
0.661 0.000 0.857
0.339 0.500 0.357
0.339 0.500 0.643
0.328 0.000 0.352
0.328 0.000 0.648
0.672 0.500 0.148
0.672 0.500 0.852
```

Properties
- ΔE_f (raw): -790 meV per atom
- DOS(E_F): 0.717 states/eV/atom

***

Question: Which of these has the highest DOS(E_F)?
Answer: LiCr2S4